No. 1
Below is a relaxed Pt3Rh crystal, with properties calculated at the GGA-PBEsol level.

M_tot = 0.01 μB per cell
DFT total energy = -7.190 eV/atom
Crystal system = orthorhombic

a b c (Å): 2.715 9.188 4.707
angles (deg): 90.00 90.00 90.00
Space group Imm2 (No. 44)
One atom of each set of equivalent atoms:
Pt  0.000  0.000  0.000 (multiplicity 2)
Pt  0.000  0.248  0.666 (multiplicity 4)
Rh  0.000  0.500  0.999 (multiplicity 2)

=====

No. 2
Below is a relaxed PtRh5 crystal, with properties calculated at the GGA-PBEsol level.

M_tot = 0.00 μB per cell
Crystal system = monoclinic
Relative energy among the computed polymorphs = 0.054 eV per atom

a b c (Å): 9.954 2.692 6.393
angles (deg): 90.00 105.34 90.00
Space group Cm (No. 8)
One atom of each set of equivalent atoms:
Pt  0.000  0.000  0.000 (multiplicity 2)
Rh  0.055  0.000  0.609 (multiplicity 2)
Rh  0.168  0.500  0.337 (multiplicity 2)
Rh  0.223  0.500  0.942 (multiplicity 2)
Rh  0.331  0.000  0.663 (multiplicity 2)
Rh  0.386  0.000  0.281 (multiplicity 2)

=====

No. 3
Below is a relaxed PtRh5 crystal, with properties calculated at the GGA-PBEsol level.

M_tot = 0.01 μB per cell
Crystal system = orthorhombic
Relative energy among the computed polymorphs = 0.055 eV per atom

a b c (Å): 4.391 2.694 13.975
angles (deg): 90.00 90.00 90.00
Space group Amm2 (No. 38)
One atom of each set of equivalent atoms:
Pt  0.000  0.000  0.000 (multiplicity 2)
Rh  0.000  0.000  0.331 (multiplicity 2)
Rh  0.000  0.000  0.668 (multiplicity 2)
Rh  0.500  0.000  0.112 (multiplicity 2)
Rh  0.500  0.000  0.443 (multiplicity 2)
Rh  0.500  0.000  0.778 (multiplicity 2)

=====

No. 4
Below is a relaxed Pt3Rh crystal, with properties calculated at the GGA-PBEsol level.

M_tot = 0.01 μB per cell
DFT total energy = -7.264 eV/atom
Crystal system = orthorhombic

a b c (Å): 2.743 3.879 5.482
angles (deg): 90.00 90.00 90.00
Space group Pmmm (No. 47)
One atom of each set of equivalent atoms:
Pt  0.000  0.000  0.000 (multiplicity 1)
Pt  0.500  0.500  0.255 (multiplicity 2)
Rh  0.000  0.000  0.500 (multiplicity 1)

=====

No. 5
Below is a relaxed PtRh crystal, with properties calculated at the GGA-PBEsol level.

M_tot = 0.00 μB per cell
DFT total energy = -6.558 eV/atom
Crystal system = hexagonal

a b c (Å): 4.2533 4.2533 5.0497
angles (deg): 90.00 90.00 120.00
Space group P6_3/mmc (No. 194)
One atom of each set of equivalent atoms:
Pt  0.3333  0.6667  0.2500 (multiplicity 2)
Rh  0.3333  0.6667  0.7500 (multiplicity 2)

=====

No. 6
Below is a relaxed PtRh crystal, with properties calculated at the GGA-PBEsol level.

M_tot = 0.02 μB per cell
DFT total energy = -7.496 eV/atom
Crystal system = monoclinic

a b c (Å): 10.167 2.703 6.498
angles (deg): 90.00 106.44 90.00
Space group Cm (No. 8)
One atom of each set of equivalent atoms:
Pt  0.000  0.000  0.000 (multiplicity 2)
Pt  0.054  0.000  0.613 (multiplicity 2)
Pt  0.171  0.500  0.336 (multiplicity 2)
Rh  0.227  0.500  0.946 (multiplicity 2)
Rh  0.332  0.000  0.670 (multiplicity 2)
Rh  0.388  0.000  0.275 (multiplicity 2)

=====

No. 7
Below is a relaxed Pt3Rh crystal, with properties calculated at the GGA-PBEsol level.

M_tot = 0.01 μB per cell
DFT total energy = -7.258 eV/atom
Crystal system = orthorhombic

a b c (Å): 5.484 7.742 2.750
angles (deg): 90.00 90.00 90.00
Space group Cmmm (No. 65)
One atom of each set of equivalent atoms:
Pt  0.000  0.000  0.000 (multiplicity 2)
Pt  0.250  0.250  0.500 (multiplicity 4)
Rh  0.000  0.500  0.000 (multiplicity 2)

=====

No. 8
Below is a relaxed Pt3Rh crystal, with properties calculated at the GGA-PBEsol level.

M_tot = 0.03 μB per cell
DFT total energy = -7.256 eV/atom
Crystal system = trigonal

a b c (Å): 2.7459 2.7459 26.8371
angles (deg): 90.00 90.00 120.00
Space group R-3m (No. 166, hexagonal axes)
One atom of each set of equivalent atoms:
Pt  0.0000  0.0000  0.0000 (multiplicity 3)
Pt  0.0000  0.0000  0.2480 (multiplicity 6)
Rh  0.0000  0.0000  0.5000 (multiplicity 3)

=====

No. 9
Below is a relaxed PtRh crystal, with properties calculated at the GGA-PBEsol level.

M_tot = 0.00 μB per cell
DFT total energy = -7.574 eV/atom
Crystal system = tetragonal

a b c (Å): 3.842 3.842 7.696
angles (deg): 90.00 90.00 90.00
Space group I4_1/amd (No. 141, origin choice 2)
One atom of each set of equivalent atoms:
Pt  0.000  0.250  0.375 (multiplicity 4)
Rh  0.000  0.250  0.875 (multiplicity 4)

=====

No. 10
Below is a relaxed PtRh3 crystal, with properties calculated at the GGA-PBEsol level.

M_tot = 0.00 μB per cell
DFT total energy = -7.793 eV/atom
Crystal system = orthorhombic

a b c (Å): 2.698 4.419 4.664
angles (deg): 90.00 90.00 90.00
Space group Pmm2 (No. 25)
One atom of each set of equivalent atoms:
Pt  0.000  0.000  0.000 (multiplicity 1)
Rh  0.000  0.500  0.336 (multiplicity 1)
Rh  0.500  0.000  0.499 (multiplicity 1)
Rh  0.500  0.500  0.830 (multiplicity 1)

=====

No. 11
Below is a relaxed PtRh3 crystal, with properties calculated at the GGA-PBEsol level.

M_tot = 0.00 μB per cell
DFT total energy = -7.850 eV/atom
Crystal system = orthorhombic

a b c (Å): 5.386 7.618 2.696
angles (deg): 90.00 90.00 90.00
Space group Cmmm (No. 65)
One atom of each set of equivalent atoms:
Pt  0.000  0.000  0.000 (multiplicity 2)
Rh  0.000  0.500  0.000 (multiplicity 2)
Rh  0.250  0.250  0.500 (multiplicity 4)

=====

No. 12
Below is a relaxed Pt5Rh crystal, with properties calculated at the GGA-PBEsol level.

M_tot = 0.00 μB per cell
DFT total energy = -7.093 eV/atom
Crystal system = orthorhombic

a b c (Å): 4.628 2.716 14.135
angles (deg): 90.00 90.00 90.00
Space group Amm2 (No. 38)
One atom of each set of equivalent atoms:
Pt  0.000  0.000  0.000 (multiplicity 2)
Pt  0.000  0.000  0.330 (multiplicity 2)
Pt  0.500  0.000  0.219 (multiplicity 2)
Pt  0.500  0.000  0.555 (multiplicity 2)
Pt  0.500  0.000  0.887 (multiplicity 2)
Rh  0.000  0.000  0.666 (multiplicity 2)

=====

No. 13
Below is a relaxed Pt3Rh crystal, with properties calculated at the GGA-PBEsol level.

M_tot = 0.01 μB per cell
DFT total energy = -7.232 eV/atom
Crystal system = orthorhombic

a b c (Å): 4.739 9.036 5.467
angles (deg): 90.00 90.00 90.00
Space group Pnma (No. 62)
One atom of each set of equivalent atoms:
Pt  0.081  0.250  0.123 (multiplicity 4)
Pt  0.248  0.501  0.375 (multiplicity 8)
Rh  0.080  0.250  0.628 (multiplicity 4)

=====

No. 14
Below is a relaxed PtRh3 crystal, with properties calculated at the GGA-PBEsol level.

M_tot = 0.00 μB per cell
DFT total energy = -7.803 eV/atom
Crystal system = orthorhombic

a b c (Å): 4.422 5.384 4.669
angles (deg): 90.00 90.00 90.00
Space group Pmmn (No. 59, origin choice 2)
One atom of each set of equivalent atoms:
Pt  0.250  0.250  0.166 (multiplicity 2)
Rh  0.250  0.501  0.666 (multiplicity 4)
Rh  0.250  0.750  0.169 (multiplicity 2)

=====

No. 15
Below is a relaxed PtRh3 crystal, with properties calculated at the GGA-PBEsol level.

M_tot = 0.00 μB per cell
DFT total energy = -7.860 eV/atom
Crystal system = cubic

a b c (Å): 3.810 3.810 3.810
angles (deg): 90.00 90.00 90.00
Space group Pm-3m (No. 221)
One atom of each set of equivalent atoms:
Pt  0.000  0.000  0.000 (multiplicity 1)
Rh  0.000  0.500  0.500 (multiplicity 3)

=====

No. 16
Below is a relaxed PtRh7 crystal, with properties calculated at the GGA-PBEsol level.

M_tot = 0.00 μB per cell
DFT total energy = -7.996 eV/atom
Crystal system = cubic

a b c (Å): 7.586 7.586 7.586
angles (deg): 90.00 90.00 90.00
Space group Fm-3m (No. 225)
One atom of each set of equivalent atoms:
Pt  0.000  0.000  0.000 (multiplicity 4)
Rh  0.000  0.000  0.500 (multiplicity 4)
Rh  0.000  0.250  0.250 (multiplicity 24)

=====

No. 17
Below is a relaxed PtRh5 crystal, with properties calculated at the GGA-PBEsol level.

M_tot = 0.00 μB per cell
Crystal system = tetragonal
Relative energy among the computed polymorphs = 0.000 eV per atom

a b c (Å): 2.684 2.684 11.419
angles (deg): 90.00 90.00 90.00
Space group P4/mmm (No. 123)
One atom of each set of equivalent atoms:
Pt  0.000  0.000  0.000 (multiplicity 1)
Rh  0.000  0.000  0.335 (multiplicity 2)
Rh  0.500  0.500  0.173 (multiplicity 2)
Rh  0.500  0.500  0.500 (multiplicity 1)

=====

No. 18
Below is a relaxed PtRh3 crystal, with properties calculated at the GGA-PBEsol level.

M_tot = 0.00 μB per cell
DFT total energy = -7.856 eV/atom
Crystal system = monoclinic

a b c (Å): 8.931 2.695 4.669
angles (deg): 90.00 100.06 90.00
Space group C2/m (No. 12)
One atom of each set of equivalent atoms:
Pt  0.000  0.000  0.000 (multiplicity 2)
Rh  0.000  0.500  0.500 (multiplicity 2)
Rh  0.248  0.000  0.746 (multiplicity 4)

=====

No. 19
Below is a relaxed Pt3Rh crystal, with properties calculated at the GGA-PBEsol level.

M_tot = 0.00 μB per cell
DFT total energy = -7.215 eV/atom
Crystal system = tetragonal

a b c (Å): 3.320 3.320 5.365
angles (deg): 90.00 90.00 90.00
Space group P4/mmm (No. 123)
One atom of each set of equivalent atoms:
Pt  0.000  0.000  0.000 (multiplicity 1)
Pt  0.500  0.500  0.254 (multiplicity 2)
Rh  0.000  0.000  0.500 (multiplicity 1)

=====

No. 20
Below is a relaxed Pt3Rh crystal, with properties calculated at the GGA-PBEsol level.

M_tot = 0.01 μB per cell
DFT total energy = -7.191 eV/atom
Crystal system = orthorhombic

a b c (Å): 2.714 4.603 4.700
angles (deg): 90.00 90.00 90.00
Space group Pmm2 (No. 25)
One atom of each set of equivalent atoms:
Pt  0.000  0.000  0.000 (multiplicity 1)
Pt  0.000  0.500  0.331 (multiplicity 1)
Pt  0.500  0.000  0.505 (multiplicity 1)
Rh  0.500  0.500  0.833 (multiplicity 1)